Entry 1:
# BaSc4W PBE relaxed
data_BaSc4W
_symmetry_space_group_name_H-M 'F -4 3 m'
_symmetry_Int_Tables_number 216
_symmetry_space_group_name_Hall 'F -4 2 3'
_cell_length_a 8.447
_cell_length_b 8.447
_cell_length_c 8.447
_cell_angle_alpha 90.00
_cell_angle_beta 90.00
_cell_angle_gamma 90.00
loop_
_atom_site_label
_atom_site_fract_x
_atom_site_fract_y
_atom_site_fract_z
Ba1 0.000 0.000 0.000
Sc1 0.121 0.121 0.621
W1 0.250 0.250 0.250
# - Magnetization: 3.80 μB/cell
# - Formation energy from the elements: 83.55 kJ per mole of atoms

---

Entry 2:
# AcPbSe2O8 PBE relaxed
data_AcPbSe2O8
_symmetry_space_group_name_H-M 'P -3 m 1'
_symmetry_Int_Tables_number 164
_symmetry_space_group_name_Hall '-P 3 2"'
_cell_length_a 5.9695
_cell_length_b 5.9695
_cell_length_c 7.6119
_cell_angle_alpha 90.00
_cell_angle_beta 90.00
_cell_angle_gamma 120.00
loop_
_atom_site_label
_atom_site_fract_x
_atom_site_fract_y
_atom_site_fract_z
Ac1 0.0000 0.0000 0.0000
Pb1 0.0000 0.0000 0.5000
Se1 0.3333 0.6667 0.3001
O1 0.1714 0.3427 0.2293
O2 0.3333 0.6667 0.5175
# - Magnetization: 0.00 μB/cell
# - Raw formation energy: -1.27 eV/atom

---

Entry 3:
# KH2Ir2 PBE relaxed
data_KH2Ir2
_symmetry_space_group_name_H-M 'P 4/m b m'
_symmetry_Int_Tables_number 127
_symmetry_space_group_name_Hall '-P 4 2ab'
_cell_length_a 7.957
_cell_length_b 7.957
_cell_length_c 2.584
_cell_angle_alpha 90.00
_cell_angle_beta 90.00
_cell_angle_gamma 90.00
loop_
_atom_site_label
_atom_site_fract_x
_atom_site_fract_y
_atom_site_fract_z
K1 0.000 0.000 0.000
H1 0.086 0.414 0.500
Ir1 0.110 0.610 0.000
# - Magnetization: 0.00 μB/cell
# - Relative energy among the computed polymorphs: 254 kJ/mol of formula units